Entry 1:
A plane-wave DFT calculation with PBE-GGA was carried out for crystalline Ba2ZnBr at its relaxed geometry.

abc: 7.780 7.780 7.780
angles: 112.44 112.44 103.69
Fractional coordinates of all 8 atoms:
Ba (0.122, 0.625, 0.997)
Ba (0.375, 0.372, 0.497)
Ba (0.628, 0.125, 0.003)
Ba (0.875, 0.878, 0.503)
Zn (0.000, 0.000, 0.000)
Zn (0.750, 0.250, 0.500)
Br (0.250, 0.750, 0.500)
Br (0.500, 0.500, 0.000)

Calculated values
Magnetic moment = 0.0 Bohr magnetons per cell
SG = No. 122
Offset from the most stable computed form = 198 meV/atom
Theoretical density = 3.88 g/cm³

Entry 2:
A plane-wave DFT calculation with PBE-GGA was carried out for crystalline KHfSn3 at its relaxed geometry.

abc: 5.589 5.589 5.589
angles: 90.00 90.00 90.00
Fractional coordinates of all 5 atoms:
K (0.000, 0.000, 0.000)
Hf (0.500, 0.500, 0.500)
Sn (0.000, 0.500, 0.500)
Sn (0.500, 0.000, 0.500)
Sn (0.500, 0.500, 0.000)

Calculated values
Magnetic moment = 0.0 Bohr magnetons per cell
SG = No. 221
Offset from the most stable computed form = 0 meV/atom
Formation energy = -3.4 kJ per mole of atoms
Theoretical density = 5.46 g/cm³